(1)
Compound: MnIr2Pt
Source: the Alexandria database
Functional: PBE
Structure: relaxed

Summary:
Calculated density = 15.63 g/cm³
Calculated formation energy = 522 meV/atom

The structure in POSCAR format:
```
MnIr2Pt
1.0
3.7740 0.0000 0.0000
1.8870 3.2684 0.0000
1.8870 1.0895 5.4650
Mn Ir Pt
1 2 1
direct
0.5025 0.5025 0.4925
0.0898 0.0898 0.7306
0.2418 0.2418 0.2746
0.6659 0.6659 0.0023
```



(2)
Compound: MnIr2Pt2
Source: the Alexandria database
Functional: PBE
Structure: relaxed

Summary:
Calculated density = 17.13 g/cm³
Calculated formation energy = 180 meV/atom

The structure in POSCAR format:
```
MnIr2Pt2
1.0
6.5761 0.0000 0.0000
0.0000 6.5761 0.0000
0.0000 0.0000 3.7192
Mn Ir Pt
2 4 4
direct
0.0000 0.0000 0.0000
0.5000 0.5000 0.0000
0.3635 0.8635 0.0000
0.8635 0.6365 0.0000
0.6365 0.1365 0.0000
0.1365 0.3635 0.0000
0.1619 0.6619 0.5000
0.6619 0.8381 0.5000
0.8381 0.3381 0.5000
0.3381 0.1619 0.5000
```



(3)
Compound: MnIr2Pt
Source: the Alexandria database
Functional: PBE
Structure: relaxed

Summary:
Calculated density = 17.84 g/cm³
Calculated formation energy = 174 meV/atom

The structure in POSCAR format:
```
MnIr2Pt
1.0
2.9657 -3.1800 0.4428
-1.2415 -3.9780 1.3182
0.0505 -3.3479 -2.8094
Mn Ir Pt
1 2 1
direct
0.0000 0.0000 0.0000
0.2500 0.2500 0.2500
0.7500 0.7500 0.7500
0.5000 0.5000 0.5000
```



(4)
Compound: MnIrPt
Source: the Alexandria database
Functional: PBE
Structure: relaxed

Summary:
Calculated density = 17.02 g/cm³
Calculated formation energy = -152 meV/atom

The structure in POSCAR format:
```
MnIrPt
1.0
5.9367 -0.0723 0.0000
4.6853 3.6465 0.0000
-5.3110 -1.7871 1.9618
Ir Mn Pt
1 1 1
direct
0.9891 0.9891 0.0000
0.3380 0.3380 0.0000
0.6729 0.6729 0.0000
```



(5)
Compound: Mn6IrPt
Source: the Alexandria database
Functional: PBE
Structure: relaxed

Summary:
Calculated density = 11.55 g/cm³
Calculated formation energy = -74 meV/atom

The structure in POSCAR format:
```
Mn6IrPt
1.0
3.6803 0.0000 0.0000
0.0000 3.6803 0.0000
0.0000 0.0000 7.6086
Mn Ir Pt
6 1 1
direct
0.5000 0.5000 0.0000
0.5000 0.5000 0.5000
0.5000 0.0000 0.2601
0.5000 0.0000 0.7399
0.0000 0.5000 0.2601
0.0000 0.5000 0.7399
0.0000 0.0000 0.5000
0.0000 0.0000 0.0000
```



(6)
Compound: MnIrPt
Source: the Alexandria database
Functional: PBE
Structure: relaxed

Summary:
Calculated density = 17.03 g/cm³
Calculated formation energy = -129 meV/atom

The structure in POSCAR format:
```
MnIrPt
1.0
4.3923 0.0000 0.0000
0.0000 8.1860 0.0000
0.0000 0.0000 4.7972
Mn Ir Pt
4 4 4
direct
0.7500 0.1602 0.3382
0.7500 0.3398 0.8382
0.2500 0.6602 0.1618
0.2500 0.8398 0.6618
0.2500 0.3241 0.1517
0.2500 0.1759 0.6517
0.7500 0.8241 0.3483
0.7500 0.6759 0.8483
0.2500 0.9894 0.1670
0.2500 0.5106 0.6670
0.7500 0.4894 0.3330
0.7500 0.0106 0.8330
```



(7)
Compound: MnIr2Pt
Source: the Alexandria database
Functional: PBE
Structure: relaxed

Summary:
Calculated density = 18.15 g/cm³
Calculated formation energy = -109 meV/atom

The structure in POSCAR format:
```
MnIr2Pt
1.0
-3.9144 -2.5215 0.9388
-3.2947 -2.9588 -1.7181
1.8735 -4.1806 1.1251
Ir Mn Pt
2 1 1
direct
0.0088 0.0088 0.9928
0.4912 0.4912 0.5072
0.7500 0.7500 0.7500
0.2500 0.2500 0.2500
```



(8)
Compound: Mn2IrPt8
Source: the Alexandria database
Functional: PBE
Structure: relaxed

Summary:
Calculated density = 17.88 g/cm³
Calculated formation energy = -98 meV/atom

The structure in POSCAR format:
```
Mn2IrPt8
1.0
-3.8818 -0.3956 0.7091
-1.4503 1.6604 -7.0136
2.9911 -6.3814 1.7240
Mn Ir Pt
2 1 8
direct
0.1798 0.6798 0.3596
0.8202 0.3202 0.6404
0.5000 0.0000 0.0000
0.6598 0.8942 0.3196
0.3402 0.5746 0.6804
0.1592 0.1592 0.3184
0.0000 0.2932 0.0000
0.8408 0.8408 0.6816
0.6598 0.4254 0.3196
0.3402 0.1058 0.6804
0.0000 0.7068 0.0000
```



(9)
Compound: MnIr2Pt
Source: the Alexandria database
Functional: PBE
Structure: relaxed

Summary:
Calculated density = 18.06 g/cm³
Calculated formation energy = -87 meV/atom

The structure in POSCAR format:
```
MnIr2Pt
1.0
-2.2863 -0.8113 4.0552
-0.4049 -2.8404 3.7547
2.8702 2.2135 3.0244
Ir Mn Pt
2 1 1
direct
0.0033 0.0033 0.9810
0.7503 0.7503 0.7622
0.4983 0.4983 0.4978
0.2481 0.2481 0.2591
```



(10)
Compound: MnIr2Pt
Source: the Alexandria database
Functional: PBE
Structure: relaxed

Summary:
Calculated density = 18.03 g/cm³
Calculated formation energy = -88 meV/atom

The structure in POSCAR format:
```
MnIr2Pt
1.0
-1.3756 1.1672 -2.0873
-2.3900 -0.7573 1.1516
-0.2386 6.6275 3.8633
Ir Mn Pt
2 1 1
direct
0.0000 0.0000 0.0092
0.5000 0.5000 0.2530
0.0000 0.0000 0.4952
0.5000 0.5000 0.7426
```



(11)
Compound: MnIr2Pt
Source: the Alexandria database
Functional: PBE
Structure: relaxed

Summary:
Calculated density = 17.59 g/cm³
Calculated formation energy = 55 meV/atom

The structure in POSCAR format:
```
MnIr2Pt
1.0
5.3892 -0.0042 0.0089
-2.7005 4.6637 0.0089
0.6831 1.1839 2.3892
Ir Mn Pt
2 1 1
direct
0.0000 0.0000 0.0000
0.5000 0.5000 0.0000
0.5000 0.0000 0.5000
0.0000 0.5000 0.5000
```



(12)
Compound: MnIr2Pt
Source: the Alexandria database
Functional: PBE
Structure: relaxed

Summary:
Calculated density = 16.99 g/cm³
Calculated formation energy = 388 meV/atom

The structure in POSCAR format:
```
MnIr2Pt
1.0
-5.7290 0.6121 3.8467
-2.4713 -5.8594 -2.7482
-2.9770 -3.9833 2.4383
Mn Ir Pt
2 4 2
direct
0.5000 0.5000 0.0000
0.2500 0.7500 0.5000
0.5808 0.1250 0.2500
0.1692 0.6250 0.2500
0.3750 0.4192 0.7500
0.8750 0.8308 0.7500
0.0000 0.0000 0.0000
0.7500 0.2500 0.5000
```



(13)
Compound: Mn4IrPt
Source: the Alexandria database
Functional: PBE
Structure: relaxed

Summary:
Calculated density = 13.58 g/cm³
Calculated formation energy = 5 meV/atom

The structure in POSCAR format:
```
Mn4IrPt
1.0
0.0000 3.3355 3.3355
3.3355 0.0000 3.3355
3.3355 3.3355 0.0000
Mn Ir Pt
4 1 1
direct
0.8743 0.3752 0.3752
0.3752 0.3752 0.8743
0.3752 0.8743 0.3752
0.3752 0.3752 0.3752
0.0000 0.0000 0.0000
0.7500 0.7500 0.7500
```



(14)
Compound: MnIrPt
Source: the Alexandria database
Functional: PBE
Structure: relaxed

Summary:
Calculated density = 17.08 g/cm³
Calculated formation energy = -123 meV/atom

The structure in POSCAR format:
```
MnIrPt
1.0
-0.0518 -0.5464 4.7268
0.9953 -4.1915 2.0209
1.5260 3.4628 -2.8851
Ir Mn Pt
1 1 1
direct
0.9923 0.9923 0.0000
0.3391 0.3391 0.0000
0.6686 0.6686 0.0000
```



(15)
Compound: MnIr2Pt
Source: the Alexandria database
Functional: PBE
Structure: relaxed

Summary:
Calculated density = 18.32 g/cm³
Calculated formation energy = -110 meV/atom

The structure in POSCAR format:
```
MnIr2Pt
1.0
-1.6346 -4.3962 -0.3902
1.4122 -2.4770 3.7445
-2.1666 4.1646 -0.3366
Ir Mn Pt
2 1 1
direct
0.0000 0.0000 0.0000
0.5000 0.5000 0.0000
0.2500 0.7500 0.5000
0.7500 0.2500 0.5000
```



(16)
Compound: MnIr2Pt
Source: the Alexandria database
Functional: PBE
Structure: relaxed

Summary:
Calculated density = 18.12 g/cm³
Calculated formation energy = -121 meV/atom

The structure in POSCAR format:
```
MnIr2Pt
1.0
-3.8230 -0.3132 0.2000
0.2208 -1.0726 2.5411
-0.0783 3.9505 4.6886
Ir Mn Pt
2 1 1
direct
0.0000 0.9867 0.0132
0.5000 0.2543 0.2450
0.0000 0.5039 0.4963
0.5000 0.7550 0.7454
```



(17)
Compound: MnIr2Pt
Source: the Alexandria database
Functional: PBE
Structure: relaxed

Summary:
Calculated density = 18.33 g/cm³
Calculated formation energy = -146 meV/atom

The structure in POSCAR format:
```
MnIr2Pt
1.0
4.7359 0.0053 0.0021
1.6012 4.4570 -0.0001
-3.1687 -2.2297 2.7230
Mn Ir Pt
1 2 1
direct
0.5000 0.5001 0.0000
0.0002 0.9999 0.0000
0.7499 0.2501 0.5000
0.2500 0.7500 0.5000
```



(18)
Compound: MnIrPt
Source: the Alexandria database
Functional: PBE
Structure: relaxed

Summary:
Calculated density = 15.36 g/cm³
Calculated formation energy = 115 meV/atom

The structure in POSCAR format:
```
MnIrPt
1.0
4.0736 0.0000 0.0000
2.0368 3.5278 0.0000
2.0368 1.1759 3.3261
Ir Mn Pt
1 1 1
direct
0.5000 0.5000 0.5000
0.7500 0.7500 0.7500
0.0000 0.0000 0.0000
```



(19)
Compound: MnSiIrPt
Source: the Alexandria database
Functional: PBE
Structure: relaxed

Summary:
ΔE_f (raw) = -0.3104 eV/atom
Calculated density = 13.82 g/cm³

The structure in POSCAR format:
```
MnSiIrPt
1.0
-0.5186 -3.8981 -1.7584
3.2784 -2.7939 -0.0498
-0.1128 -3.4980 2.5114
Mn Si Ir Pt
1 1 1 1
direct
0.0000 0.0000 0.0000
0.5000 0.5000 0.5000
0.7500 0.7500 0.7500
0.2500 0.2500 0.2500
```



(20)
Compound: MnSnIrPt2
Source: the Alexandria database
Functional: PBE
Structure: relaxed

Summary:
Calculated density = 13.09 g/cm³
Calculated formation energy = 1153 meV/atom

The structure in POSCAR format:
```
MnSnIrPt2
1.0
-3.6678 0.9979 -2.4039
0.4252 -4.0947 -2.3485
-2.5714 -2.0331 3.0793
Mn Ir Sn Pt
1 1 1 2
direct
0.0000 0.0000 0.0000
0.5000 0.5000 0.5000
0.0000 0.5000 0.0000
0.0000 0.0000 0.5000
0.5000 0.0000 0.0000
```



(21)
Compound: TaMnIrPt
Source: the Alexandria database
Functional: PBE
Structure: relaxed

Summary:
Calculated density = 17.35 g/cm³
Calculated formation energy = -541 meV/atom

The structure in POSCAR format:
```
TaMnIrPt
1.0
-2.3438 2.9987 0.6987
-1.6538 -1.9930 3.0060
2.6326 1.4901 2.4363
Ta Mn Ir Pt
1 1 1 1
direct
0.0000 0.5000 0.5000
0.5000 0.0000 0.5000
0.5000 0.5000 0.0000
0.0000 0.0000 0.0000
```



(22)
Compound: TmMnIrPt
Source: the Alexandria database
Functional: PBE
Structure: relaxed

Summary:
Calculated density = 14.60 g/cm³
Calculated formation energy = -585 meV/atom

The structure in POSCAR format:
```
TmMnIrPt
1.0
4.6154 0.0000 0.0000
2.3077 3.9970 0.0000
2.3077 1.3323 3.7684
Mn Ir Tm Pt
1 1 1 1
direct
0.5000 0.5000 0.5000
0.7500 0.7500 0.7500
0.0000 0.0000 0.0000
0.2500 0.2500 0.2500
```



(23)
Compound: ZrMnIrPt
Source: the Alexandria database
Functional: PBE
Structure: relaxed

Summary:
Calculated density = 13.20 g/cm³
Calculated formation energy = -575 meV/atom

The structure in POSCAR format:
```
ZrMnIrPt
1.0
4.5619 0.0000 0.0000
2.2810 3.9507 0.0000
2.2810 1.3169 3.7248
Mn Ir Zr Pt
1 1 1 1
direct
0.0000 0.0000 0.0000
0.7500 0.7500 0.7500
0.5000 0.5000 0.5000
0.2500 0.2500 0.2500
```



(24)
Compound: Pu2MnIr
Source: the Alexandria database
Functional: PBE
Structure: relaxed

Summary:
Calculated density = 15.54 g/cm³
Calculated formation energy = -169 meV/atom

The structure in POSCAR format:
```
Pu2MnIr
1.0
-2.4247 -2.4645 -0.9193
0.1578 -1.3843 3.2950
-4.5051 3.7623 1.7963
Ir Mn Pu
1 1 2
direct
0.5000 0.5000 0.0000
0.5000 0.5000 0.5000
0.0000 0.0000 0.7522
0.0000 0.0000 0.2478
```



(25)
Compound: Pu2MnIr
Source: the Alexandria database
Functional: PBE
Structure: relaxed

Summary:
Calculated density = 15.45 g/cm³
Calculated formation energy = -196 meV/atom

The structure in POSCAR format:
```
Pu2MnIr
1.0
-0.0979 1.7597 -3.0476
-4.5952 0.9275 0.6831
1.1444 3.9969 2.2711
Ir Mn Pu
1 1 2
direct
0.5000 0.0000 0.0000
0.5000 0.5000 0.5000
0.0000 0.0000 0.5000
0.0000 0.5000 0.0000
```



(26)
Compound: Pu4MnIr3
Source: the Alexandria database
Functional: PBE
Structure: relaxed

Summary:
Calculated density = 16.51 g/cm³
Calculated formation energy = -224 meV/atom

The structure in POSCAR format:
```
Pu4MnIr3
1.0
-1.7559 -4.7341 -0.9854
-0.0193 0.9640 -4.6010
7.1740 -0.3418 2.2999
Mn Ir Pu
1 3 4
direct
0.5000 0.0000 0.0000
0.0000 0.5000 0.0000
0.7352 0.2347 0.4699
0.2648 0.7653 0.5301
0.3797 0.3798 0.7592
0.6203 0.6202 0.2408
0.1331 0.1330 0.2659
0.8669 0.8670 0.7341
```



(27)
Compound: PuMnIr
Source: the Alexandria database
Functional: PBE
Structure: relaxed

Summary:
Calculated density = 11.52 g/cm³
Calculated formation energy = 309 meV/atom

The structure in POSCAR format:
```
PuMnIr
1.0
6.5075 0.0000 0.0000
0.0000 6.5075 0.0000
0.0000 0.0000 6.6891
Mn Ir Pu
4 4 4
direct
0.2960 0.2960 0.0000
0.7040 0.7040 0.5000
0.2040 0.7960 0.2500
0.7960 0.2040 0.7500
0.5303 0.4697 0.7500
0.9697 0.9697 0.5000
0.0303 0.0303 0.0000
0.4697 0.5303 0.2500
0.7634 0.2366 0.2500
0.7366 0.7366 0.0000
0.2634 0.2634 0.5000
0.2366 0.7634 0.7500
```



(28)
Compound: PuMnIr
Source: the Alexandria database
Functional: PBE
Structure: relaxed

Summary:
Calculated density = 15.64 g/cm³
Calculated formation energy = -409 meV/atom

The structure in POSCAR format:
```
PuMnIr
1.0
4.7586 -0.1106 -2.1478
-2.8577 4.3226 -0.6466
-0.2499 0.1106 5.2149
Pu Mn Ir
2 2 2
direct
0.2500 0.1244 0.3744
0.7500 0.8756 0.6256
0.5000 0.0000 0.0000
0.0000 0.5000 0.0000
0.0000 0.5000 0.5000
0.5000 0.5000 0.0000
```